Lu2ZrGa: relaxed, PBE.

```
4
Lattice="0.000 3.579 3.579 3.579 0.000 3.579 3.579 3.579 0.000" Properties=species:S:1:pos:R:3 pbc="T T T"
Lu 0.000 0.000 0.000
Lu 1.789 1.789 1.789
Zr 5.368 5.368 5.368
Ga 3.579 3.579 3.579
```

Computed properties:
SG	F-43m, No. 216
total DFT energy (no corrections)	-20.77	eV/cell

***

Ni2P4WSe: relaxed, PBE.

```
8
Lattice="3.378 0.000 0.000 -1.689 2.925 0.000 0.000 0.000 11.868" Properties=species:S:1:pos:R:3 pbc="T T T"
Ni 0.000 0.000 2.780
Ni 0.000 0.000 9.087
P 0.000 1.950 4.032
P 0.000 1.950 7.836
P 1.689 0.975 1.544
P 1.689 0.975 10.324
W 0.000 0.000 0.000
Se 0.000 0.000 5.934
```

Computed properties:
SG	P-6m2, No. 187
total DFT energy (no corrections)	-50.11	eV/cell

***

Y2Fe3Ge5: relaxed, PBE.

```
20
Lattice="5.520 -6.002 0.000 5.520 6.002 0.000 -2.815 0.000 4.964" Properties=species:S:1:pos:R:3 pbc="T T T"
Y 1.915 1.659 1.175
Y 0.508 -1.659 3.657
Y 7.716 1.659 1.307
Y 6.309 -1.659 3.789
Fe 3.385 4.280 1.892
Fe 6.247 4.280 0.590
Fe 4.816 0.043 1.241
Fe 3.408 -0.043 3.723
Fe 1.977 -4.280 4.374
Fe 4.839 -4.280 3.072
Ge 3.408 5.926 3.723
Ge 1.306 1.072 4.096
Ge 3.408 2.711 3.723
Ge 4.816 2.543 1.241
Ge 2.714 -1.072 1.613
Ge 5.510 1.072 3.351
Ge 3.408 -2.543 3.723
Ge 4.816 -2.711 1.241
Ge 6.918 -1.072 0.869
Ge 4.816 -5.926 1.241
```

Computed properties:
SG	C2/c, No. 15
total DFT energy (no corrections)	-131.41	eV/cell